# 1
Entry from Alexandria via LeMat-Bulk: crystalline VNi2As at its relaxed geometry (GGA-PBE).

```
data_VNi2As
_cell_length_a 8.822
_cell_length_b 8.822
_cell_length_c 8.822
_cell_angle_alpha 156.62
_cell_angle_beta 156.62
_cell_angle_gamma 33.30
_space_group_name_H-M_alt 'P 1'
_space_group_IT_number 1
loop_
_space_group_symop_operation_xyz
'x,y,z'
loop_
_atom_site_label
_atom_site_fract_x
_atom_site_fract_y
_atom_site_fract_z
_atom_site_occupancy
V1 0.000 0.000 0.000 1
V2 0.750 0.250 0.500 1
Ni1 0.131 0.625 0.006 1
Ni2 0.375 0.381 0.506 1
Ni3 0.619 0.125 0.994 1
Ni4 0.875 0.869 0.494 1
As1 0.250 0.750 0.500 1
As2 0.500 0.500 0.000 1
```

Space group: No. 122
N(E_F) in states/eV/atom: 1.12

=====

# 2
Entry from Alexandria via LeMat-Bulk: crystalline VNiAs2 at its relaxed geometry (GGA-PBE).

```
data_VNiAs2
_cell_length_a 4.324
_cell_length_b 4.324
_cell_length_c 4.324
_cell_angle_alpha 60.00
_cell_angle_beta 60.00
_cell_angle_gamma 60.00
_space_group_name_H-M_alt 'P 1'
_space_group_IT_number 1
loop_
_space_group_symop_operation_xyz
'x,y,z'
loop_
_atom_site_label
_atom_site_fract_x
_atom_site_fract_y
_atom_site_fract_z
_atom_site_occupancy
V1 0.000 0.000 0.000 1
Ni1 0.500 0.500 0.500 1
As1 0.250 0.250 0.250 1
As2 0.750 0.750 0.750 1
```

Space group: No. 225
N(E_F) in states/eV/atom: 0.64

=====

# 3
Entry from Alexandria via LeMat-Bulk: crystalline VNi12As3 at its relaxed geometry (GGA-PBE).

```
data_VNi12As3
_cell_length_a 3.579
_cell_length_b 3.579
_cell_length_c 14.402
_cell_angle_alpha 90.00
_cell_angle_beta 90.00
_cell_angle_gamma 90.00
_space_group_name_H-M_alt 'P 1'
_space_group_IT_number 1
loop_
_space_group_symop_operation_xyz
'x,y,z'
loop_
_atom_site_label
_atom_site_fract_x
_atom_site_fract_y
_atom_site_fract_z
_atom_site_occupancy
V1 0.000 0.000 0.000 1
Ni1 0.000 0.500 0.120 1
Ni2 0.000 0.500 0.375 1
Ni3 0.000 0.500 0.625 1
Ni4 0.000 0.500 0.880 1
Ni5 0.500 0.000 0.120 1
Ni6 0.500 0.000 0.375 1
Ni7 0.500 0.000 0.625 1
Ni8 0.500 0.000 0.880 1
Ni9 0.500 0.500 0.000 1
Ni10 0.500 0.500 0.249 1
Ni11 0.500 0.500 0.500 1
Ni12 0.500 0.500 0.751 1
As1 0.000 0.000 0.250 1
As2 0.000 0.000 0.500 1
As3 0.000 0.000 0.750 1
```

Space group: No. 123
N(E_F) in states/eV/atom: 0.98

=====

# 4
Entry from Alexandria via LeMat-Bulk: crystalline VNiAs2 at its relaxed geometry (GGA-PBE).

```
data_VNiAs2
_cell_length_a 8.348
_cell_length_b 8.348
_cell_length_c 8.348
_cell_angle_alpha 20.78
_cell_angle_beta 20.78
_cell_angle_gamma 20.78
_space_group_name_H-M_alt 'P 1'
_space_group_IT_number 1
loop_
_space_group_symop_operation_xyz
'x,y,z'
loop_
_atom_site_label
_atom_site_fract_x
_atom_site_fract_y
_atom_site_fract_z
_atom_site_occupancy
V1 0.000 0.000 0.000 1
Ni1 0.500 0.500 0.500 1
As1 0.407 0.407 0.407 1
As2 0.593 0.593 0.593 1
```

Space group: No. 166
N(E_F) in states/eV/atom: 0.70

=====

| no. | total energy (eV per atom) |
| --- | --- |
| 1 | -6.28 |
| 2 | -6.05 |
| 3 | -5.95 |
| 4 | -6.11 |